TbNbN2O PBE-GGA relaxed; space group = Pnma, No. 62; total magnetic moment = 0.00 Bohr magnetons per cell; calculated total energy = -44.95 eV per formula unit
1.0
5.6631 0.0000 0.0000
0.0000 7.8683 0.0000
0.0000 0.0000 5.6339
Tb N Nb O
4 8 4 4
Cartesian
0.0162 5.9013 0.1617
2.8478 5.9013 2.6552
5.6469 1.9671 5.4722
2.8154 1.9671 2.9786
1.4026 3.4171 4.2382
4.2605 4.4512 1.3956
4.2605 7.3512 1.3956
4.2342 3.4171 4.2126
1.4026 0.5171 4.2382
1.4290 7.3512 1.4213
1.4290 4.4512 1.4213
4.2342 0.5171 4.2126
0.0000 0.0000 2.8169
2.8316 3.9342 0.0000
2.8316 0.0000 0.0000
0.0000 3.9342 2.8169
2.8429 1.9671 0.6766
0.0113 1.9671 2.1403
5.6519 5.9013 3.4936
2.8203 5.9013 4.9573



TbNbNO PBE-GGA relaxed; space group = Pbcm, No. 57; total magnetic moment = 0.00 Bohr magnetons per cell; energy above the most stable polymorph in this dataset = 0.019 eV/atom
1.0
4.5808 0.0000 0.0000
0.0000 6.5716 0.0000
0.0000 0.0000 7.6637
N Tb Nb O
4 4 4 4
Cartesian
2.5227 0.5334 4.5289
0.2323 6.0382 3.1347
2.5227 3.8192 3.1347
0.2323 2.7524 4.5289
2.5219 2.9446 1.0101
2.5219 6.2304 6.6536
0.2315 3.6269 6.6536
0.2315 0.3412 1.0101
0.2320 4.0001 2.8497
2.5223 5.8572 2.8497
2.5223 2.5715 4.8140
0.2320 0.7143 4.8140
2.5218 3.9284 6.5335
0.2314 5.9289 6.5335
0.2314 2.6431 1.1301
2.5218 0.6427 1.1301



TbNbN2O PBE-GGA relaxed; space group = P1, No. 1; total magnetic moment = 0.00 Bohr magnetons per cell; calculated total energy = -45.31 eV per formula unit
1.0
-0.4127 -7.8559 0.9358
5.1747 -0.9996 -5.9244
6.2584 0.2577 4.9940
Tb O N Nb
8 8 16 8
Cartesian
4.8717 -2.8911 -5.4119
8.5217 -2.1869 2.2999
8.0057 -2.8069 -3.0673
2.7655 -6.3837 -2.0696
3.3006 -5.7662 3.3042
5.8704 -6.2659 0.2324
0.2203 -5.9367 0.6519
5.4677 -2.3334 0.0149
8.8577 -2.5699 -0.9678
2.4966 -6.0226 1.2609
4.3994 -4.8558 -0.7644
5.5482 -5.9967 2.4798
5.8390 -2.5989 -2.1827
4.8242 -7.1270 5.0204
6.9896 -3.6917 1.0837
6.5828 -1.4986 -4.6921
7.1137 -0.7552 0.7185
3.6365 -4.1261 -3.5509
3.8355 -1.1764 -3.9699
5.1122 -6.6400 -2.9072
10.1379 -5.1606 -1.2520
8.2749 -6.3500 0.7654
4.2902 -0.4810 1.5567
1.4996 -4.6893 -1.1328
7.1020 -8.1267 -1.2361
7.2147 -4.9695 -1.5289
6.2603 -1.9348 3.2084
4.1787 -3.6093 1.8508
1.3307 -7.6896 -0.7113
4.2593 -7.8285 -0.4249
1.2445 -3.4294 1.5451
3.0826 -2.2392 -0.4920
5.8315 -3.8465 2.9159
6.0351 -0.1461 2.3161
3.0346 -0.2243 -0.2531
5.3559 -4.6650 -2.7448
8.2140 -8.3421 0.3518
2.7172 -3.9992 0.2679
5.0965 -8.4937 -2.1542
8.5557 -4.6156 -0.1439



TbNbN2O PBE-GGA relaxed; space group = P1, No. 1; total magnetic moment = 0.00 Bohr magnetons per cell; calculated total energy = -45.01 eV per formula unit
1.0
5.4802 0.0000 0.0000
-2.7154 4.8405 0.0000
-2.6465 -1.6839 5.0232
N Tb O Nb
4 2 2 2
Cartesian
-1.5240 -0.3153 3.7054
-0.5765 1.6406 1.2134
1.7889 -0.3521 1.3644
0.6875 1.4707 3.6580
2.6940 1.6004 0.4789
-2.6838 1.5652 4.5425
-1.6281 3.4080 3.8032
1.6749 3.3893 1.3234
0.0517 0.1468 2.1873
0.1070 3.2293 2.8395



TbNbN2O PBE-GGA relaxed; space group = P2_1/c, No. 14; total magnetic moment = 0.00 Bohr magnetons per cell; calculated total energy = -45.09 eV per formula unit
1.0
7.9363 0.0000 0.0000
0.0000 7.9645 0.0000
-7.7966 0.0000 7.9434
O Tb Nb N
8 8 8 16
Cartesian
5.9788 1.9408 1.3345
-5.8390 6.0238 6.6089
0.6122 2.1963 0.0100
-3.2860 1.7859 3.9817
-0.4725 5.7682 7.9334
-1.9407 5.9230 2.6372
2.0805 2.0415 5.3062
3.4258 6.1786 3.9617
-5.9226 4.0608 7.7411
2.1641 0.0785 4.1740
-2.0244 7.8860 3.7694
-5.8881 0.0435 7.9019
6.0279 7.9211 0.0415
-1.9898 3.9388 3.9302
6.0624 3.9037 0.2023
2.1296 4.0258 4.0132
3.9448 5.9554 1.8713
0.0125 1.9639 5.8993
0.0932 1.9731 2.1004
3.9108 2.0184 1.9276
-3.7710 5.9461 6.0158
0.0465 5.9914 5.8430
-3.8050 2.0092 6.0721
0.1272 6.0007 2.0441
-0.1576 7.9321 1.6003
2.0300 1.8941 2.5635
-0.5026 1.7335 3.9842
-4.1047 0.0339 6.0756
3.3957 2.2488 0.0125
4.2445 7.9307 1.8678
0.2974 0.0324 6.3431
-0.2064 3.9484 2.1039
-4.0559 4.0147 5.5720
0.3462 4.0161 5.8395
-1.8683 2.0882 6.5352
-3.2560 5.7157 7.9309
4.1957 3.9499 2.3714
0.6423 6.2311 3.9592
2.0080 5.8764 1.4082
-1.8902 6.0705 5.3799



TbNbNO PBE-GGA relaxed; space group = P4/nmm, No. 129; total magnetic moment = 0.00 Bohr magnetons per cell; energy above the most stable polymorph in this dataset = 0.000 eV/atom
1.0
4.0001 0.0000 0.0000
0.0000 4.0001 0.0000
0.0000 0.0000 7.9920
N Tb O Nb
2 2 2 2
Cartesian
0.0000 2.0000 4.7261
2.0000 0.0000 3.2660
2.0000 0.0000 6.9494
0.0000 2.0000 1.0427
0.0000 0.0000 0.0000
2.0000 2.0000 0.0000
2.0000 2.0000 3.9960
0.0000 0.0000 3.9960



TbNbN2O PBE-GGA relaxed; space group = Pmma, No. 51; total magnetic moment = 0.00 Bohr magnetons per cell; calculated total energy = -44.25 eV per formula unit
1.0
5.6978 0.0000 0.0000
0.0000 3.8687 0.0000
0.0000 0.0000 5.9617
Tb O N Nb
2 2 4 2
Cartesian
4.2734 0.0000 1.8848
1.4245 0.0000 4.0770
2.8489 1.9343 2.9809
0.0000 1.9343 2.9809
2.8489 1.9343 0.0000
4.2734 0.0000 4.1124
1.4245 0.0000 1.8494
0.0000 1.9343 0.0000
1.4245 1.9343 1.3087
4.2734 1.9343 4.6531



TbNbN2O PBE-GGA relaxed; space group = P1, No. 1; total magnetic moment = 0.00 Bohr magnetons per cell; calculated total energy = -45.20 eV per formula unit
1.0
5.6208 0.0000 0.0000
-2.8061 4.8925 0.0000
-2.7969 -1.6275 9.1887
N Tb Nb O
8 4 4 4
Cartesian
3.0995 0.2768 3.0705
1.7020 0.2759 5.7064
-3.1910 3.1185 5.9850
1.1607 -1.0519 8.2494
-0.3278 1.4142 1.4479
-1.0822 1.1196 5.5164
1.7397 3.5347 1.1623
0.9833 2.3151 3.7979
-0.0958 0.1070 3.4974
2.8539 1.4580 1.0838
-2.8387 1.7249 8.0221
0.0503 3.1061 5.8553
2.7132 4.8434 0.1321
0.0225 -0.1126 6.8187
0.0577 3.2048 2.3959
2.7870 1.4757 4.6236
0.5036 1.8865 7.7541
-1.7852 3.0712 3.3132
-0.9645 4.3000 0.7225
-1.5952 -0.1574 8.1380



TbNbN2O PBE-GGA relaxed; space group = Pm, No. 6; total magnetic moment = 0.00 Bohr magnetons per cell; calculated total energy = -44.69 eV per formula unit
1.0
3.8438 0.0000 0.0000
0.0000 3.7390 0.0000
-0.0110 0.0000 4.7709
Tb Nb N O
1 1 2 1
Cartesian
3.8341 0.0000 0.5932
1.9196 1.8695 2.6704
1.9239 1.8695 4.5379
-0.0047 1.8695 2.0413
1.9142 0.0000 1.8958



TbNbNO PBE-GGA relaxed; space group = P4/nmm, No. 129; total magnetic moment = 0.08 Bohr magnetons per cell; energy above the most stable polymorph in this dataset = 0.198 eV/atom
1.0
4.7460 0.0000 0.0000
0.0000 4.7460 0.0000
0.0000 0.0000 4.5266
Nb O N Tb
2 2 2 2
Cartesian
2.3730 0.0000 0.0018
0.0000 2.3730 4.5249
0.0000 0.0000 0.0000
2.3730 2.3730 0.0000
0.0000 2.3730 2.2560
2.3730 0.0000 2.2706
2.3730 2.3730 2.2633
0.0000 0.0000 2.2633



TbNbN2O PBE-GGA relaxed; space group = P6_3/mmc, No. 194; total magnetic moment = 0.01 Bohr magnetons per cell; calculated total energy = -43.87 eV per formula unit
1.0
5.7216 0.0000 0.0000
-2.8608 4.9551 0.0000
0.0000 0.0000 14.0881
N Nb O Tb
12 6 6 6
Cartesian
1.5072 4.1736 1.3084
0.0000 1.5630 5.7357
2.8608 3.3921 8.3524
4.3680 0.7815 8.3524
-1.5072 4.1736 5.7357
0.0000 1.5630 1.3084
-1.5072 4.1736 1.3084
1.3536 0.7815 12.7797
2.8608 3.3921 12.7797
1.3536 0.7815 8.3524
4.3680 0.7815 12.7797
1.5072 4.1736 5.7357
2.8608 1.6517 9.0885
0.0000 0.0000 0.0000
2.8608 1.6517 12.0436
0.0000 3.3034 2.0444
0.0000 3.3034 4.9996
0.0000 0.0000 7.0440
0.0000 4.8557 10.5660
-1.3443 2.5272 10.5660
1.3443 2.5272 10.5660
1.5165 2.4278 3.5220
4.2051 2.4278 3.5220
2.8608 0.0994 3.5220
2.8608 1.6517 5.2787
0.0000 0.0000 3.5220
2.8608 1.6517 1.7653
0.0000 0.0000 10.5660
0.0000 3.3034 8.8093
0.0000 3.3034 12.3228



YNbNO PBE-GGA relaxed; space group = Pmc2_1, No. 26; total magnetic moment = 0.04 Bohr magnetons per cell; energy above the most stable polymorph in this dataset = 0.331 eV/atom
1.0
3.3319 0.0000 0.0000
0.0000 6.1127 0.0000
0.0000 0.0000 6.1202
Y O Nb N
2 2 2 2
Cartesian
1.6659 3.1121 5.0351
1.6659 0.0557 1.0851
1.6659 5.2991 5.1507
1.6659 2.2428 0.9694
0.0000 3.2460 2.0707
0.0000 0.1896 4.0495
0.0000 2.1207 3.7503
0.0000 5.1771 2.3698